No. 1
ZnMo4Rh5 (GGA-PBE, relaxed); M_tot = 0.000 μB/cell; total DFT energy (no corrections) = -8.365 eV per atom; ΔE_f = -0.229 eV per atom
1.0
2.779 0.000 0.000
0.000 2.779 0.000
0.000 0.000 18.988
Zn Mo Rh
1 4 5
Direct
0.000 0.000 0.000
0.000 0.000 0.192
0.000 0.000 0.397
0.000 0.000 0.603
0.000 0.000 0.808
0.500 0.500 0.095
0.500 0.500 0.295
0.500 0.500 0.500
0.500 0.500 0.705
0.500 0.500 0.905



No. 2
ZnMoRh3 (GGA-PBE, relaxed); M_tot = 0.000 μB/cell; energy above the most stable polymorph in this dataset = 0 meV per atom; total DFT energy (no corrections) = -5.768 eV per atom; ΔE_f = 1.064 eV per atom
1.0
4.674 0.000 0.000
0.000 4.674 0.000
0.000 0.000 4.674
Zn Mo Rh
1 1 3
Direct
0.000 0.000 0.000
0.500 0.500 0.500
0.000 0.500 0.500
0.500 0.000 0.500
0.500 0.500 0.000